[1]
# Ba2SbMo (PBE, relaxed)
data_Ba2SbMo
_symmetry_space_group_name_H-M 'P 1'
_symmetry_Int_Tables_number 1
_cell_length_a 4.183
_cell_length_b 5.534
_cell_length_c 12.330
_cell_angle_alpha 90.00
_cell_angle_beta 90.00
_cell_angle_gamma 90.00
loop_
_symmetry_equiv_pos_as_xyz
'x,y,z'
loop_
_atom_site_label
_atom_site_type_symbol
_atom_site_fract_x
_atom_site_fract_y
_atom_site_fract_z
_atom_site_occupancy
Ba1 Ba 0.000 0.000 0.000 1
Ba2 Ba 0.000 0.500 0.210 1
Ba3 Ba 0.500 0.000 0.710 1
Ba4 Ba 0.500 0.500 0.500 1
Sb1 Sb 0.000 0.000 0.427 1
Sb2 Sb 0.500 0.500 0.927 1
Mo1 Mo 0.000 0.500 0.780 1
Mo2 Mo 0.500 0.000 0.280 1
# Total magnetization, μB/f.u.: 3.19
# Symmetry: Imm2, No. 44
# Raw total energy, eV per atom: -4.493
# Raw formation energy, eV/atom: 0.206
# DOS at the Fermi energy, states/eV/f.u.: 3.047

***

[2]
# BaSbMo2 (PBE, relaxed)
data_BaSbMo2
_symmetry_space_group_name_H-M 'P 1'
_symmetry_Int_Tables_number 1
_cell_length_a 3.473
_cell_length_b 5.171
_cell_length_c 6.217
_cell_angle_alpha 90.00
_cell_angle_beta 93.70
_cell_angle_gamma 90.00
loop_
_symmetry_equiv_pos_as_xyz
'x,y,z'
loop_
_atom_site_label
_atom_site_type_symbol
_atom_site_fract_x
_atom_site_fract_y
_atom_site_fract_z
_atom_site_occupancy
Ba1 Ba 0.000 0.000 0.000 1
Sb1 Sb 0.500 0.000 0.500 1
Mo1 Mo 0.283 0.500 0.634 1
Mo2 Mo 0.717 0.500 0.366 1
# Total magnetization, μB/f.u.: 0.00
# Symmetry: P2/m, No. 10
# Raw total energy, eV per atom: -6.337
# Raw formation energy, eV/atom: 0.590
# DOS at the Fermi energy, states/eV/f.u.: 4.161

***

[3]
# Ba2SbMo (PBE, relaxed)
data_Ba2SbMo
_symmetry_space_group_name_H-M 'P 1'
_symmetry_Int_Tables_number 1
_cell_length_a 4.069
_cell_length_b 4.069
_cell_length_c 30.591
_cell_angle_alpha 90.00
_cell_angle_beta 90.00
_cell_angle_gamma 120.00
loop_
_symmetry_equiv_pos_as_xyz
'x,y,z'
loop_
_atom_site_label
_atom_site_type_symbol
_atom_site_fract_x
_atom_site_fract_y
_atom_site_fract_z
_atom_site_occupancy
Ba1 Ba 0.000 0.000 0.247 1
Ba2 Ba 0.000 0.000 0.753 1
Ba3 Ba 0.333 0.667 0.419 1
Ba4 Ba 0.333 0.667 0.914 1
Ba5 Ba 0.667 0.333 0.086 1
Ba6 Ba 0.667 0.333 0.581 1
Sb1 Sb 0.000 0.000 0.000 1
Sb2 Sb 0.333 0.667 0.667 1
Sb3 Sb 0.667 0.333 0.333 1
Mo1 Mo 0.000 0.000 0.500 1
Mo2 Mo 0.333 0.667 0.167 1
Mo3 Mo 0.667 0.333 0.833 1
# Total magnetization, μB/f.u.: 3.00
# Symmetry: R-3m, No. 166
# Raw total energy, eV per atom: -4.028
# Raw formation energy, eV/atom: 0.672
# DOS at the Fermi energy, states/eV/f.u.: 3.716

***

[4]
# Ba4SbMo (PBE, relaxed)
data_Ba4SbMo
_symmetry_space_group_name_H-M 'P 1'
_symmetry_Int_Tables_number 1
_cell_length_a 7.124
_cell_length_b 7.124
_cell_length_c 7.124
_cell_angle_alpha 60.00
_cell_angle_beta 60.00
_cell_angle_gamma 60.00
loop_
_symmetry_equiv_pos_as_xyz
'x,y,z'
loop_
_atom_site_label
_atom_site_type_symbol
_atom_site_fract_x
_atom_site_fract_y
_atom_site_fract_z
_atom_site_occupancy
Ba1 Ba 0.376 0.376 0.376 1
Ba2 Ba 0.376 0.376 0.873 1
Ba3 Ba 0.376 0.873 0.376 1
Ba4 Ba 0.873 0.376 0.376 1
Sb1 Sb 0.750 0.750 0.750 1
Mo1 Mo 0.000 0.000 0.000 1
# Total magnetization, μB/f.u.: 3.32
# Symmetry: F-43m, No. 216
# Raw total energy, eV per atom: -2.952
# Raw formation energy, eV/atom: 0.822
# DOS at the Fermi energy, states/eV/f.u.: 6.253

***

- Look up the raw formation energy of the third one.
  0.672 eV/atom

***

- The lowest raw formation energy belongs to which entry?
  number 1

***

- The highest DOS at the Fermi energy belongs to which entry?
  Ba4SbMo